Entry 1:
Pm3SmGa2: optimized geometry, PBE.

Unit cell a=5.1372 b=6.6794 c=9.6699 alpha=90.00 beta=90.00 gamma=90.00
Last column: nearest neighbours and their distance in Å.
Positions (direct):
Pm (0.0000, 0.4795, 0.9478)  3 Ga 3.14-3.16, 5 Pm 3.44-3.51
Pm (0.0000, 0.9795, 0.0522)  3 Ga 3.14-3.16, 5 Pm 3.44-3.51
Pm (0.5000, 0.6827, 0.1716)  4 Ga 3.10-3.19, 2 Pm 3.44
Pm (0.5000, 0.1827, 0.8284)  4 Ga 3.10-3.19, 2 Pm 3.44
Pm (0.0000, 0.3173, 0.3299)  4 Ga 3.08-3.19, 2 Sm 3.44
Pm (0.0000, 0.8173, 0.6701)  4 Ga 3.08-3.19, 2 Sm 3.44
Sm (0.5000, 0.5199, 0.5532)  3 Ga 3.13-3.15, 3 Pm 3.44-3.49, 2 Sm 3.49
Sm (0.5000, 0.0199, 0.4468)  3 Ga 3.13-3.15, 3 Pm 3.44-3.49, 2 Sm 3.49
Ga (0.5000, 0.7105, 0.8515)  6 Pm 3.10-3.19, 1 Sm 3.15
Ga (0.5000, 0.2105, 0.1485)  6 Pm 3.10-3.19, 1 Sm 3.15
Ga (0.0000, 0.2902, 0.6480)  5 Pm 3.08-3.19, 2 Sm 3.13
Ga (0.0000, 0.7902, 0.3520)  5 Pm 3.08-3.19, 2 Sm 3.13

Computed properties:
- E_form: -399 meV per atom
- Symmetry: No. 26

=====

Entry 2:
Y2HgPt: optimized geometry, PBE.

Unit cell a=3.5580 b=3.5739 c=8.2550 alpha=64.47 beta=90.00 gamma=90.00
Last column: nearest neighbours and their distance in Å.
Positions (direct):
Y (0.0000, 0.0242, 0.9758)  4 Pt 3.03, 4 Hg 3.24-3.25, 1 Y 3.36
Y (0.0000, 0.4758, 0.5242)  4 Pt 3.03, 4 Hg 3.24-3.25, 1 Y 3.36
Hg (0.5000, 0.2500, 0.2500)  8 Y 3.24-3.25, 4 Hg 3.56-3.57
Pt (0.5000, 0.7500, 0.7500)  8 Y 3.03

Computed properties:
- E_form: -870 meV per atom
- Symmetry: No. 10

=====

Entry 3:
TcIrS2Cl: optimized geometry, PBE.

Unit cell a=4.5386 b=4.5386 c=4.8256 alpha=90.00 beta=90.00 gamma=90.00
Last column: nearest neighbours and their distance in Å.
Positions (direct):
S (0.0000, 0.5000, 0.0000)  2 Tc 2.27
S (0.5000, 0.0000, 0.0000)  2 Tc 2.27
Ir (0.5000, 0.5000, 0.5000)  4 Cl 3.21, 8 S 3.31
Tc (0.0000, 0.0000, 0.0000)  4 S 2.27, 2 Cl 2.41
Cl (0.0000, 0.0000, 0.5000)  2 Tc 2.41

Computed properties:
- Symmetry: No. 123
- Energy relative to the elements, uncorrected: 1.031 eV/atom

=====

Entry 4:
CsAl2Rh: optimized geometry, PBE.

Unit cell a=5.0496 b=5.0496 c=5.0496 alpha=60.00 beta=60.00 gamma=60.00
Last column: nearest neighbours and their distance in Å.
Positions (direct):
Cs (0.5000, 0.5000, 0.5000)  8 Al 3.09
Rh (0.0000, 0.0000, 0.0000)  8 Al 3.09
Al (0.2500, 0.2500, 0.2500)  4 Rh 3.09, 4 Cs 3.09
Al (0.7500, 0.7500, 0.7500)  4 Rh 3.09, 4 Cs 3.09

Computed properties:
- E_form: 754 meV per atom
- Symmetry: No. 225

=====

Entry 5:
La2BeAg: optimized geometry, PBE.

Unit cell a=6.0108 b=6.0108 c=6.0108 alpha=136.94 beta=136.94 gamma=62.54
Last column: nearest neighbours and their distance in Å.
Positions (direct):
Be (0.7500, 0.2500, 0.5000)  8 La 3.12-3.39, 4 Ag 3.39
Ag (0.5000, 0.5000, 0.0000)  8 La 3.12-3.39, 4 Be 3.39
La (0.0000, 0.0000, 0.0000)  4 Ag 3.12, 4 Be 3.39, 4 La 3.39
La (0.2500, 0.7500, 0.5000)  4 Be 3.12, 4 Ag 3.39, 4 La 3.39

Computed properties:
- E_form: 145 meV per atom
- Symmetry: No. 119

=====

Entry 6:
CaAs2: optimized geometry, PBE.

Unit cell a=5.2301 b=5.2301 c=5.2301 alpha=133.52 beta=133.52 gamma=67.84
Last column: nearest neighbours and their distance in Å.
Positions (direct):
Ca (0.5000, 0.5000, 0.0000)  10 As 3.15-3.16
As (0.1358, 0.1358, 0.0000)  1 As 2.36
As (0.8642, 0.8642, 0.0000)  1 As 2.36

Computed properties:
- E_form: -529 meV per atom
- Symmetry: No. 139

=====

Entry 7:
Sr2In3Ga: optimized geometry, PBE.

Unit cell a=4.2995 b=4.9437 c=8.4662 alpha=90.00 beta=90.00 gamma=90.00
Last column: nearest neighbours and their distance in Å.
Positions (direct):
Sr (0.0000, 0.5000, 0.0081)  2 Ga 3.48, 10 In 3.57-3.67
Sr (0.0000, 0.0000, 0.4943)  8 In 3.45-3.58, 4 Ga 3.55
In (0.5000, 0.0000, 0.8330)  3 In 2.89-2.90
In (0.5000, 0.0000, 0.1757)  2 Ga 2.80, 1 In 2.90
In (0.5000, 0.5000, 0.6570)  1 Ga 2.75, 2 In 2.89
Ga (0.5000, 0.5000, 0.3318)  3 In 2.75-2.80

Computed properties:
- E_form: -397 meV per atom
- Symmetry: No. 25

=====

Entry 8:
LiFeSi2: optimized geometry, PBE.

Unit cell a=2.5733 b=2.5733 c=7.9250 alpha=90.00 beta=90.00 gamma=95.27
Last column: nearest neighbours and their distance in Å.
Positions (direct):
Fe (0.0000, 0.0000, 0.4803)  4 Si 2.40-2.52, 4 Fe 2.57
Li (0.5000, 0.5000, 0.7435)  4 Li 2.57, 4 Si 2.70-2.81, 4 Fe 2.71-2.82
Si (0.0000, 0.0000, 0.0052)  8 Si 2.57-2.84, 4 Li 2.70-2.81
Si (0.5000, 0.5000, 0.2710)  4 Fe 2.40-2.52, 4 Si 2.57

Computed properties:
- Symmetry: No. 35
- Energy relative to the elements, uncorrected: 0.146 eV/atom

=====

Entry 9:
MnTePI2: optimized geometry, PBE.

Unit cell a=5.2150 b=5.2150 c=4.9465 alpha=90.00 beta=90.00 gamma=90.00
Last column: nearest neighbours and their distance in Å.
Positions (direct):
I (0.0000, 0.5000, 0.0000)  2 Mn 2.61
I (0.5000, 0.0000, 0.0000)  2 Mn 2.61
P (0.5000, 0.5000, 0.5000)  8 I 3.59, 4 Te 3.69
Te (0.0000, 0.0000, 0.5000)  2 Mn 2.47
Mn (0.0000, 0.0000, 0.0000)  2 Te 2.47, 4 I 2.61

Computed properties:
- Symmetry: No. 123
- Energy relative to the elements, uncorrected: 0.895 eV/atom